i | Material: CaHF2
Method: DFT, PBE
State: relaxed

Geometry as extended XYZ:
```
4
Lattice="-5.168 2.320 -1.948 -5.576 1.593 1.504 -3.873 4.543 0.500" Properties=species:S:1:pos:R:3 pbc="T T T"
H 0.000 0.000 0.000
Ca -7.308 4.228 0.028
F -13.612 7.875 0.051
F -1.004 0.581 0.004
```

The density of states at the Fermi level is 0.222 states/eV/atom. As for the calculated volume: 15.372 Å³ per atom. The mass density comes out at 2.136 g/cm3.

ii | Material: CaHF2
Method: DFT, PBE
State: relaxed

Geometry as extended XYZ:
```
8
Lattice="4.806 0.000 0.000 0.000 4.806 0.000 2.403 2.403 6.311" Properties=species:S:1:pos:R:3 pbc="T T T"
H 2.403 2.403 0.000
H 2.403 4.806 3.156
Ca 0.000 0.000 0.000
Ca 4.806 2.403 3.156
F 3.918 1.201 1.578
F 0.888 3.604 1.578
F 3.604 3.291 4.734
F 6.007 6.321 4.734
```

The density of states at the Fermi level is 0.000 states/eV/atom. As for the calculated volume: 18.219 Å³ per atom. The mass density comes out at 1.802 g/cm3.

Going by the energies, ii is most stable and the next is 140 meV per atom up.

i | Material: CaHF2
Method: DFT, PBE
State: relaxed

Geometry as extended XYZ:
```
8
Lattice="-0.482 3.556 -0.732 -2.948 0.240 3.107 6.914 0.394 6.528" Properties=species:S:1:pos:R:3 pbc="T T T"
Ca 3.281 3.224 4.344
Ca 0.204 0.966 4.560
H 0.078 0.325 1.530
H 3.406 3.865 7.374
F 2.305 1.050 3.586
F 1.180 3.140 5.318
F 4.340 1.713 5.465
F -0.856 2.478 3.438
```

The density of states at the Fermi level is 0.000 states/eV/atom. As for the calculated volume: 18.341 Å³ per atom. The mass density comes out at 1.790 g/cm3.

ii | Material: CaHF2
Method: DFT, PBE
State: relaxed

Geometry as extended XYZ:
```
4
Lattice="2.255 0.000 3.316 -1.127 1.952 3.316 -1.127 -1.952 3.316" Properties=species:S:1:pos:R:3 pbc="T T T"
H 0.000 0.000 4.974
Ca 0.000 0.000 0.000
F 0.000 0.000 7.463
F 0.000 0.000 2.485
```

The density of states at the Fermi level is 0.000 states/eV/atom. As for the calculated volume: 10.947 Å³ per atom. The mass density comes out at 2.999 g/cm3.

Going by the energies, ii is most stable and the next is 43 meV per atom up.

i | Material: CaH2F2
Method: DFT, PBE
State: relaxed

Geometry as extended XYZ:
```
5
Lattice="-3.308 -1.174 -0.884 -0.734 -0.951 -3.415 1.660 -6.845 1.085" Properties=species:S:1:pos:R:3 pbc="T T T"
Ca 0.000 0.000 0.000
H -1.078 -4.156 -1.463
H -1.304 -4.814 -1.751
F -1.079 -1.604 -1.239
F -1.303 -7.365 -1.975
```

The density of states at the Fermi level is 0.000 states/eV/atom. As for the calculated volume: 16.127 Å³ per atom. The mass density comes out at 1.649 g/cm3.

ii | Material: CaH2F2
Method: DFT, PBE
State: relaxed

Geometry as extended XYZ:
```
5
Lattice="2.867 0.000 0.000 0.000 2.867 0.000 1.434 1.434 8.177" Properties=species:S:1:pos:R:3 pbc="T T T"
H 2.867 1.434 4.089
H 1.434 2.867 4.089
Ca 0.000 0.000 0.000
F 1.434 1.434 1.187
F 2.867 2.867 6.991
```

The density of states at the Fermi level is 0.112 states/eV/atom. As for the calculated volume: 13.444 Å³ per atom. The mass density comes out at 1.979 g/cm3.

Going by the energies, i is most stable and the next is 999 meV per atom up.